No. 1
Entry from Alexandria: Y2Ho6Tm3Sc after structural relaxation (PBE).

Geometry as POSCAR:
```
Y2Ho6Tm3Sc
1.0
6.0618 0.0022 -0.0027
-3.0276 5.2516 -0.0027
-1.0032 -1.7370 11.4273
Ho Y Tm Sc
6 2 3 1
Direct
0.7523 0.7523 0.2499 Ho
0.2477 0.2477 0.7501 Ho
0.4134 0.0829 0.2498 Ho
0.9171 0.5866 0.7502 Ho
0.5866 0.9171 0.7502 Ho
0.0829 0.4134 0.2498 Ho
0.6666 0.3334 0.0000 Y
0.3334 0.6666 0.0000 Y
0.8335 0.1665 0.5000 Tm
0.1665 0.8335 0.5000 Tm
0.5000 0.5000 0.5000 Tm
0.0000 0.0000 0.0000 Sc
```

Computed properties:
Formation enthalpy at 0 K ... 0.03 eV/atom
Volume ... 30.32 A^3/atom
Final energy ... -4.980 eV per atom
N(E_F) ... 1.46 states/eV/atom


No. 2
Entry from Alexandria: Y6Ho3TmSc2 after structural relaxation (PBE).

Geometry as POSCAR:
```
Y6Ho3TmSc2
1.0
-3.8890 -4.3088 1.7936
2.4169 -0.2234 -5.5692
9.1953 -4.6743 5.2819
Ho Sc Y Tm
3 2 6 1
Direct
0.5000 0.5000 0.5000 Ho
0.8332 0.1668 0.5000 Ho
0.1668 0.8332 0.5000 Ho
0.6666 0.3334 0.0000 Sc
0.3334 0.6666 0.0000 Sc
0.5827 0.9180 0.7556 Y
0.0820 0.4173 0.2444 Y
0.7465 0.7465 0.2445 Y
0.2535 0.2535 0.7555 Y
0.4173 0.0820 0.2444 Y
0.9180 0.5827 0.7556 Y
0.0000 0.0000 0.0000 Tm
```

Computed properties:
Formation enthalpy at 0 K ... 0.05 eV/atom
Volume ... 30.41 A^3/atom
Final energy ... -5.759 eV per atom
N(E_F) ... 1.58 states/eV/atom


No. 3
Entry from Alexandria: Y4Ho2TmSc after structural relaxation (PBE).

Geometry as POSCAR:
```
Y4Ho2TmSc
1.0
4.9692 0.0000 0.0000
0.0000 4.9015 0.8578
0.0000 3.1921 10.6184
Ho Y Sc Tm
2 4 1 1
Direct
0.0000 0.0000 0.0000 Ho
0.5000 0.0000 0.5000 Ho
0.0000 0.2540 0.2459 Y
0.5000 0.7537 0.2462 Y
0.0000 0.7460 0.7541 Y
0.5000 0.2463 0.7538 Y
0.5000 0.5000 0.0000 Sc
0.0000 0.5000 0.5000 Tm
```

Computed properties:
Formation enthalpy at 0 K ... 0.04 eV/atom
Volume ... 30.63 A^3/atom
Final energy ... -5.689 eV per atom
N(E_F) ... 1.56 states/eV/atom


No. 4
Entry from Alexandria: YHoTm2Sc4 after structural relaxation (PBE).

Geometry as POSCAR:
```
YHoTm2Sc4
1.0
-8.2898 -1.4026 3.3538
3.2875 -5.3624 6.5095
4.3550 9.5273 -4.0225
Sc Ho Tm Y
8 2 4 2
Direct
0.7486 0.2463 0.4974 Sc
0.7463 0.2486 0.9975 Sc
0.2539 0.2492 0.5026 Sc
0.2538 0.7514 0.0026 Sc
0.2508 0.2461 0.9974 Sc
0.2514 0.7537 0.5026 Sc
0.7461 0.7508 0.4974 Sc
0.7492 0.7539 0.0026 Sc
0.5000 0.5000 0.5000 Ho
0.0000 0.0000 0.0000 Ho
0.5000 0.0000 0.5000 Tm
0.5000 0.0000 0.0000 Tm
0.5000 0.5000 0.0000 Tm
0.0000 0.0000 0.5000 Tm
0.0000 0.5000 0.0000 Y
0.0000 0.5000 0.5000 Y
```

Computed properties:
Formation enthalpy at 0 K ... 0.44 eV/atom
Volume ... 28.77 A^3/atom
Final energy ... -5.219 eV per atom
N(E_F) ... 2.06 states/eV/atom


No. 5
Entry from Alexandria: Y6HoTm2Sc after structural relaxation (PBE).

Geometry as POSCAR:
```
Y6HoTm2Sc
1.0
9.0124 -1.9509 -2.0246
0.7452 8.4149 -1.9082
0.7452 -2.2187 8.3384
Y Tm Sc Ho
12 4 2 2
Direct
0.3121 0.9953 0.4360 Y
0.9450 0.8767 0.2450 Y
0.6150 0.4940 0.7056 Y
0.8121 0.4360 0.9953 Y
0.8850 0.2944 0.5060 Y
0.0550 0.1233 0.7550 Y
0.6879 0.0047 0.5640 Y
0.4450 0.2450 0.8767 Y
0.5550 0.7550 0.1233 Y
0.3850 0.5060 0.2944 Y
0.1879 0.5640 0.0047 Y
0.1150 0.7056 0.4940 Y
0.4511 0.8003 0.6990 Tm
0.0489 0.3010 0.1997 Tm
0.5489 0.1997 0.3010 Tm
0.9511 0.6990 0.8003 Tm
0.7500 0.5873 0.4127 Sc
0.2500 0.4127 0.5873 Sc
0.2500 0.9768 0.0232 Ho
0.7500 0.0232 0.9768 Ho
```

Computed properties:
Formation enthalpy at 0 K ... 0.13 eV/atom
Volume ... 31.26 A^3/atom
Final energy ... -5.736 eV per atom
N(E_F) ... 1.50 states/eV/atom


No. 6
Entry from Alexandria: YHoTm2Sc5 after structural relaxation (PBE).

Geometry as POSCAR:
```
YHoTm2Sc5
1.0
-3.4039 3.0102 -2.7570
6.0684 -3.7778 -6.4938
-6.1945 -8.0286 -1.1180
Ho Sc Tm Y
2 10 4 2
Direct
0.7934 0.5868 0.5118 Ho
0.2066 0.4132 0.0118 Ho
0.2841 0.5681 0.3028 Sc
0.0204 0.0409 0.0309 Sc
0.2995 0.5990 0.7120 Sc
0.4778 0.9555 0.7336 Sc
0.7005 0.4010 0.2120 Sc
0.6033 0.2066 0.5230 Sc
0.3967 0.7934 0.0230 Sc
0.9796 0.9591 0.5309 Sc
0.5222 0.0445 0.2336 Sc
0.7159 0.4319 0.8028 Sc
0.1117 0.2234 0.3231 Tm
0.8883 0.7766 0.8231 Tm
0.8908 0.7815 0.2309 Tm
0.1092 0.2185 0.7309 Tm
0.5827 0.1654 0.9560 Y
0.4173 0.8346 0.4560 Y
```

Computed properties:
Formation enthalpy at 0 K ... 0.18 eV/atom
Volume ... 27.97 A^3/atom
Final energy ... -5.560 eV per atom
N(E_F) ... 1.83 states/eV/atom


No. 7
Entry from Alexandria: YHoTmSc after structural relaxation (PBE).

Geometry as POSCAR:
```
YHoTmSc
1.0
-1.2326 4.4594 1.6432
0.9471 -1.4337 4.6014
4.7617 -0.0534 -3.6182
Tm Y Ho Sc
1 1 1 1
Direct
0.8699 0.3699 0.7397 Tm
0.3697 0.8697 0.7395 Y
0.1199 0.1199 0.2397 Ho
0.6197 0.6197 0.2394 Sc
```

Computed properties:
Polymorph energy (0 for the lowest one) ... 0 meV per atom
Formation enthalpy at 0 K ... 0.05 eV/atom
Volume ... 29.36 A^3/atom
Final energy ... -5.413 eV per atom
N(E_F) ... 1.62 states/eV/atom


No. 8
Entry from Alexandria: Y2HoTm6Sc after structural relaxation (PBE).

Geometry as POSCAR:
```
Y2HoTm6Sc
1.0
8.2924 -1.5629 -1.6219
1.0385 8.6809 -2.1837
1.0385 -2.5039 8.5940
Y Tm Sc Ho
4 12 2 2
Direct
0.0559 0.3151 0.2106 Y
0.5559 0.2106 0.3151 Y
0.9441 0.6849 0.7894 Y
0.4441 0.7894 0.6849 Y
0.7022 0.9564 0.5384 Tm
0.7978 0.4616 0.0436 Tm
0.2978 0.0436 0.4616 Tm
0.4445 0.2105 0.8794 Tm
0.5555 0.7895 0.1206 Tm
0.2022 0.5384 0.9564 Tm
0.4117 0.5369 0.2676 Tm
0.5883 0.4631 0.7324 Tm
0.9117 0.2676 0.5369 Tm
0.0883 0.7324 0.4631 Tm
0.0555 0.1206 0.7895 Tm
0.9445 0.8794 0.2105 Tm
0.2500 0.4420 0.5580 Sc
0.7500 0.5580 0.4420 Sc
0.7500 0.0380 0.9620 Ho
0.2500 0.9620 0.0380 Ho
```

Computed properties:
Formation enthalpy at 0 K ... 0.13 eV/atom
Volume ... 30.48 A^3/atom
Final energy ... -4.937 eV per atom
N(E_F) ... 1.28 states/eV/atom


No. 9
Entry from Alexandria: Y6HoTm2Sc3 after structural relaxation (PBE).

Geometry as POSCAR:
```
Y6HoTm2Sc3
1.0
-0.0968 -4.4805 4.0509
1.2964 -1.1856 -5.7800
10.5717 3.5628 2.6923
Sc Tm Y Ho
3 2 6 1
Direct
0.8331 0.1669 0.5000 Sc
0.1669 0.8331 0.5000 Sc
0.5000 0.5000 0.5000 Sc
0.3334 0.6666 0.0000 Tm
0.6666 0.3334 0.0000 Tm
0.7525 0.7525 0.2581 Y
0.5807 0.9141 0.7420 Y
0.4193 0.0859 0.2580 Y
0.9141 0.5807 0.7420 Y
0.2475 0.2475 0.7419 Y
0.0859 0.4193 0.2580 Y
0.0000 0.0000 0.0000 Ho
```

Computed properties:
Formation enthalpy at 0 K ... 0.05 eV/atom
Volume ... 29.77 A^3/atom
Final energy ... -5.888 eV per atom
N(E_F) ... 1.61 states/eV/atom


No. 10
Entry from Alexandria: Y2HoTm2Sc after structural relaxation (PBE).

Geometry as POSCAR:
```
Y2HoTm2Sc
1.0
-1.6200 -2.8590 -0.4264
5.3056 -2.6329 -2.5032
4.9053 -5.1354 15.7983
Y Ho Tm Sc
4 2 4 2
Direct
0.5000 0.2555 0.3172 Y
0.0000 0.2445 0.8172 Y
0.0000 0.7555 0.1828 Y
0.5000 0.7445 0.6828 Y
0.5000 0.5000 0.0000 Ho
0.0000 0.0000 0.5000 Ho
0.0000 0.2564 0.1446 Tm
0.5000 0.7564 0.3554 Tm
0.5000 0.2436 0.6446 Tm
0.0000 0.7436 0.8554 Tm
0.0000 0.0000 0.0000 Sc
0.5000 0.5000 0.5000 Sc
```

Computed properties:
Formation enthalpy at 0 K ... 0.28 eV/atom
Volume ... 30.76 A^3/atom
Final energy ... -5.188 eV per atom
N(E_F) ... 1.50 states/eV/atom


No. 11
Entry from Alexandria: YHoTm3Sc after structural relaxation (PBE).

Geometry as POSCAR:
```
YHoTm3Sc
1.0
5.4960 0.0000 0.0000
-2.7480 11.3581 0.5456
0.0000 -1.9536 5.6771
Tm Sc Ho Y
6 2 2 2
Direct
0.4558 0.9116 0.1743 Tm
0.2081 0.4161 0.3835 Tm
0.1261 0.2521 0.7944 Tm
0.8739 0.7479 0.2056 Tm
0.5442 0.0884 0.8257 Tm
0.7919 0.5839 0.6165 Tm
0.6299 0.2598 0.4444 Sc
0.3701 0.7402 0.5556 Sc
0.0499 0.0998 0.2374 Ho
0.9501 0.9002 0.7626 Ho
0.2935 0.5869 0.9701 Y
0.7065 0.4131 0.0299 Y
```

Computed properties:
Formation enthalpy at 0 K ... 0.08 eV/atom
Volume ... 30.02 A^3/atom
Final energy ... -5.054 eV per atom
N(E_F) ... 1.86 states/eV/atom


No. 12
Entry from Alexandria: YHoTmSc after structural relaxation (PBE).

Geometry as POSCAR:
```
YHoTmSc
1.0
5.5169 0.0000 0.0000
2.7585 4.7778 0.0000
2.7585 1.5926 4.5046
Tm Y Ho Sc
1 1 1 1
Direct
0.7500 0.7500 0.7500 Tm
0.0000 0.0000 0.0000 Y
0.5000 0.5000 0.5000 Ho
0.2500 0.2500 0.2500 Sc
```

Computed properties:
Polymorph energy (0 for the lowest one) ... 77 meV per atom
Formation enthalpy at 0 K ... 0.12 eV/atom
Volume ... 29.68 A^3/atom
Final energy ... -5.336 eV per atom
N(E_F) ... 2.12 states/eV/atom


No. 13
Entry from Alexandria: HoTmScZn after structural relaxation (PBE).

Geometry as POSCAR:
```
HoTmScZn
1.0
5.1730 0.0000 0.0000
2.5865 4.4800 0.0000
2.5865 1.4933 4.2238
Ho Sc Zn Tm
1 1 1 1
Direct
0.2500 0.2500 0.2500 Ho
0.5000 0.5000 0.5000 Sc
0.0000 0.0000 0.0000 Zn
0.7500 0.7500 0.7500 Tm
```

Computed properties:
Polymorph energy (0 for the lowest one) ... 146 meV per atom
Formation enthalpy at 0 K ... 0.00 eV/atom
Volume ... 24.47 A^3/atom
Final energy ... -4.166 eV per atom
N(E_F) ... 1.06 states/eV/atom


No. 14
Entry from Alexandria: HoTmScZn after structural relaxation (PBE).

Geometry as POSCAR:
```
HoTmScZn
1.0
3.4805 0.0000 0.0000
0.0000 3.4805 0.0000
0.0000 0.0000 8.2371
Sc Tm Zn Ho
1 1 1 1
Direct
0.0000 0.0000 0.0732 Sc
0.5000 0.5000 0.3542 Tm
0.0000 0.0000 0.5682 Zn
0.5000 0.5000 0.7891 Ho
```

Computed properties:
Polymorph energy (0 for the lowest one) ... 0 meV per atom
Formation enthalpy at 0 K ... -0.15 eV/atom
Volume ... 24.95 A^3/atom
Final energy ... -4.312 eV per atom
N(E_F) ... 1.07 states/eV/atom


No. 15
Entry from Alexandria: Ho2TmZrSc4 after structural relaxation (PBE).

Geometry as POSCAR:
```
Ho2TmZrSc4
1.0
-4.0748 2.0565 1.3154
-2.3689 -3.9810 -1.1144
-1.1603 -7.1262 7.5469
Ho Sc Tm Zr
2 4 1 1
Direct
0.5000 0.0000 0.5000 Ho
0.0000 0.0000 0.0000 Ho
0.5000 0.7390 0.2606 Sc
0.0000 0.7602 0.7396 Sc
0.5000 0.2610 0.7394 Sc
0.0000 0.2398 0.2604 Sc
0.5000 0.5000 0.0000 Tm
0.0000 0.5000 0.5000 Zr
```

Computed properties:
Formation enthalpy at 0 K ... 0.05 eV/atom
Volume ... 26.29 A^3/atom
Final energy ... -5.886 eV per atom
N(E_F) ... 1.56 states/eV/atom


No. 16
Entry from Alexandria: Ho3Tm6ZrSc2 after structural relaxation (PBE).

Geometry as POSCAR:
```
Ho3Tm6ZrSc2
1.0
5.9411 0.0024 -0.0037
-2.9670 5.1472 -0.0037
-0.9827 -1.7016 11.1854
Tm Sc Ho Zr
6 2 3 1
Direct
0.5904 0.9198 0.7604 Tm
0.0802 0.4096 0.2396 Tm
0.9198 0.5904 0.7604 Tm
0.2490 0.2490 0.7609 Tm
0.4096 0.0802 0.2396 Tm
0.7510 0.7510 0.2391 Tm
0.6668 0.3332 0.0000 Sc
0.3332 0.6668 0.0000 Sc
0.8331 0.1669 0.5000 Ho
0.5000 0.5000 0.5000 Ho
0.1669 0.8331 0.5000 Ho
0.0000 0.0000 0.0000 Zr
```

Computed properties:
Formation enthalpy at 0 K ... 0.05 eV/atom
Volume ... 28.50 A^3/atom
Final energy ... -5.099 eV per atom
N(E_F) ... 1.37 states/eV/atom


No. 17
Entry from Alexandria: HoScU after structural relaxation (PBE).

Geometry as POSCAR:
```
HoScU
1.0
-4.4304 0.2878 3.0334
3.0333 -4.4389 0.0857
1.6396 1.1645 2.2842
Ho U Sc
1 1 1
Direct
0.0000 0.0000 0.0000 Ho
0.6667 0.3333 0.4999 U
0.3333 0.6667 0.5002 Sc
```

Computed properties:
Formation enthalpy at 0 K ... 0.37 eV/atom
Volume ... 25.40 A^3/atom
Final energy ... -7.031 eV per atom
N(E_F) ... 2.10 states/eV/atom


No. 18
Entry from Alexandria: HoScV4 after structural relaxation (PBE).

Geometry as POSCAR:
```
HoScV4
1.0
-5.2803 0.6691 -0.4229
-2.8421 -3.1649 -3.2271
-3.3251 -3.6286 2.0700
Ho Sc V
1 1 4
Direct
0.2500 0.2500 0.2500 Ho
0.0000 0.0000 0.0000 Sc
0.6255 0.1235 0.6255 V
0.6255 0.6255 0.1235 V
0.6255 0.6255 0.6255 V
0.1235 0.6255 0.6255 V
```

Computed properties:
Formation enthalpy at 0 K ... 0.30 eV/atom
Volume ... 17.94 A^3/atom
Final energy ... -7.599 eV per atom
N(E_F) ... 2.39 states/eV/atom


No. 19
Entry from Alexandria: HoScV after structural relaxation (PBE).

Geometry as POSCAR:
```
HoScV
1.0
3.2218 0.0000 0.0000
0.0000 3.2218 0.0000
-1.6109 -1.6109 13.3867
Ho Sc V
2 2 2
Direct
0.4367 0.4367 0.8735 Ho
0.5633 0.5633 0.1265 Ho
0.1598 0.1598 0.3197 Sc
0.8402 0.8402 0.6803 Sc
0.2696 0.2696 0.5392 V
0.7304 0.7304 0.4608 V
```

Computed properties:
Formation enthalpy at 0 K ... 0.18 eV/atom
Volume ... 23.16 A^3/atom
Final energy ... -6.495 eV per atom
N(E_F) ... 1.06 states/eV/atom


No. 20
Entry from Alexandria: Ho2ScV after structural relaxation (PBE).

Geometry as POSCAR:
```
Ho2ScV
1.0
3.2843 0.0000 0.0000
1.6422 2.8443 0.0000
1.6422 0.9481 11.1092
V Sc Ho
1 1 2
Direct
0.0000 0.0000 0.0000 V
0.5000 0.5000 0.5000 Sc
0.0846 0.0846 0.7463 Ho
0.9154 0.9154 0.2537 Ho
```

Computed properties:
Formation enthalpy at 0 K ... 0.59 eV/atom
Volume ... 25.94 A^3/atom
Final energy ... -5.558 eV per atom
N(E_F) ... 1.80 states/eV/atom